No. 1
Material: TaMn2P
Method: DFT, PBE-GGA
State: relaxed

Output
Fermi-level density of states ... 0.91 states/eV per atom
E_tot ... -8.896 eV per atom
Calculated formation energy ... 0.004 eV/atom
Size of the total moment ... 3.76 μB per cell

a b c (Å): 5.020 4.505 2.800
angles (deg): 87.06 75.18 115.75
Positions (direct):
Mn: 0.000 0.500 0.500
Mn: 0.000 0.000 0.000
Ta: 0.500 0.000 0.500
P: 0.500 0.500 0.000

No. 2
Material: TaMnP
Method: DFT, PBE-GGA
State: relaxed

Output
Fermi-level density of states ... 0.68 states/eV per atom
E_tot ... -9.560 eV per atom
Calculated formation energy ... -0.750 eV/atom
Size of the total moment ... 4.74 μB per cell

a b c (Å): 3.568 6.223 10.651
angles (deg): 89.40 90.00 90.00
Positions (direct):
P: 0.250 0.731 0.253
P: 0.250 0.766 0.917
P: 0.750 0.269 0.747
P: 0.250 0.225 0.420
P: 0.750 0.234 0.083
P: 0.750 0.775 0.580
Ta: 0.750 0.649 0.081
Ta: 0.250 0.977 0.710
Ta: 0.750 0.023 0.290
Ta: 0.250 0.351 0.919
Ta: 0.250 0.473 0.616
Ta: 0.750 0.527 0.384
Mn: 0.250 0.853 0.461
Mn: 0.750 0.147 0.539
Mn: 0.750 0.640 0.795
Mn: 0.750 0.006 0.912
Mn: 0.250 0.994 0.088
Mn: 0.250 0.360 0.205

No. 3
Material: TaMn2P
Method: DFT, PBE-GGA
State: relaxed

Output
Fermi-level density of states ... 0.92 states/eV per atom
E_tot ... -8.987 eV per atom
Calculated formation energy ... -0.087 eV/atom
Size of the total moment ... 0.02 μB per cell

a b c (Å): 4.106 2.874 4.457
angles (deg): 89.23 90.00 90.00
Positions (direct):
P: 0.500 0.250 0.250
Mn: 0.000 0.118 0.008
Mn: 0.000 0.382 0.492
Ta: 0.500 0.750 0.750

No. 4
Material: TaMn4P2
Method: DFT, PBE-GGA
State: relaxed

Output
Fermi-level density of states ... 0.95 states/eV per atom
E_tot ... -8.452 eV per atom
Calculated formation energy ... 0.026 eV/atom
Size of the total moment ... 0.00 μB per cell

a b c (Å): 3.019 3.018 9.883
angles (deg): 98.78 98.78 90.36
Positions (direct):
P: 0.409 0.409 0.818
P: 0.591 0.591 0.182
Mn: 0.143 0.143 0.285
Mn: 0.857 0.857 0.715
Mn: 0.250 0.750 0.500
Mn: 0.750 0.250 0.500
Ta: 0.000 0.000 0.000

No. 5
Material: Ta2MnP
Method: DFT, PBE-GGA
State: relaxed

Output
Fermi-level density of states ... 0.96 states/eV per atom
E_tot ... -9.215 eV per atom
Calculated formation energy ... 0.356 eV/atom
Size of the total moment ... 5.75 μB per cell

a b c (Å): 3.820 3.820 9.703
angles (deg): 78.65 78.65 90.00
Positions (direct):
Ta: 0.375 0.381 0.750
Ta: 0.875 0.869 0.750
Ta: 0.131 0.625 0.250
Ta: 0.619 0.125 0.250
P: 0.500 0.500 0.000
P: 0.250 0.750 0.500
Mn: 0.750 0.250 0.500
Mn: 0.000 0.000 0.000

No. 6
Material: TaMn2P
Method: DFT, PBE-GGA
State: relaxed

Output
Fermi-level density of states ... 0.87 states/eV per atom
E_tot ... -9.086 eV per atom
Calculated formation energy ... -0.185 eV/atom
Size of the total moment ... 0.00 μB per cell

a b c (Å): 4.048 2.865 4.556
angles (deg): 77.06 90.00 90.00
Positions (direct):
Ta: 0.500 0.793 0.731
Mn: 0.500 0.367 0.239
Mn: 0.000 0.004 0.045
P: 0.000 0.335 0.485

No. 7
Material: TaMn2P
Method: DFT, PBE-GGA
State: relaxed

Output
Fermi-level density of states ... 0.44 states/eV per atom
E_tot ... -9.120 eV per atom
Calculated formation energy ... -0.219 eV/atom
Size of the total moment ... 3.89 μB per cell

a b c (Å): 3.725 3.722 3.814
angles (deg): 90.00 90.00 90.00
Positions (direct):
Ta: 0.000 0.500 0.500
Mn: 0.500 0.500 0.000
Mn: 0.000 0.000 0.000
P: 0.500 0.000 0.500

No. 8
Material: TaMn2P2
Method: DFT, PBE-GGA
State: relaxed

Output
Fermi-level density of states ... 0.96 states/eV per atom
E_tot ... -8.568 eV per atom
Calculated formation energy ... -0.366 eV/atom
Size of the total moment ... 3.20 μB per cell

a b c (Å): 6.710 6.710 2.752
angles (deg): 90.00 90.00 90.00
Positions (direct):
Mn: 0.360 0.140 0.500
Mn: 0.640 0.860 0.500
Mn: 0.860 0.360 0.500
Mn: 0.140 0.640 0.500
P: 0.650 0.150 0.000
P: 0.150 0.350 0.000
P: 0.850 0.650 0.000
P: 0.350 0.850 0.000
Ta: 0.500 0.500 0.000
Ta: 0.000 0.000 0.000

No. 9
Material: TaMn2P
Method: DFT, PBE-GGA
State: relaxed

Output
Fermi-level density of states ... 0.55 states/eV per atom
E_tot ... -9.083 eV per atom
Calculated formation energy ... -0.183 eV/atom
Size of the total moment ... 0.85 μB per cell

a b c (Å): 4.805 4.805 4.805
angles (deg): 136.42 136.42 63.34
Positions (direct):
Mn: 0.000 0.000 0.000
Mn: 0.250 0.750 0.500
P: 0.500 0.500 0.000
Ta: 0.750 0.250 0.500

No. 10
Material: TaMn2P
Method: DFT, PBE-GGA
State: relaxed

Output
Fermi-level density of states ... 0.49 states/eV per atom
E_tot ... -8.791 eV per atom
Calculated formation energy ... 0.110 eV/atom
Size of the total moment ... 4.68 μB per cell

a b c (Å): 8.128 8.128 8.128
angles (deg): 20.37 20.37 20.37
Positions (direct):
Mn: 0.006 0.006 0.006
Mn: 0.758 0.758 0.758
P: 0.491 0.491 0.491
Ta: 0.245 0.245 0.245

No. 11
Material: Ta4MnP
Method: DFT, PBE-GGA
State: relaxed

Output
Fermi-level density of states ... 1.15 states/eV per atom
E_tot ... -9.603 eV per atom
Calculated formation energy ... 0.729 eV/atom
Size of the total moment ... 2.64 μB per cell

a b c (Å): 5.405 5.405 5.405
angles (deg): 60.00 60.00 60.00
Positions (direct):
Ta: 0.375 0.874 0.375
Ta: 0.375 0.375 0.874
Ta: 0.874 0.375 0.375
Ta: 0.375 0.375 0.375
P: 0.000 0.000 0.000
Mn: 0.750 0.750 0.750

No. 12
Material: TaMn2P
Method: DFT, PBE-GGA
State: relaxed

Output
Fermi-level density of states ... 0.70 states/eV per atom
E_tot ... -9.115 eV per atom
Calculated formation energy ... -0.214 eV/atom
Size of the total moment ... 3.24 μB per cell

a b c (Å): 4.501 4.501 4.205
angles (deg): 70.54 70.54 41.44
Positions (direct):
P: 0.750 0.750 0.750
Mn: 0.016 0.016 0.971
Mn: 0.484 0.484 0.529
Ta: 0.250 0.250 0.250

No. 13
Material: TaMn2P
Method: DFT, PBE-GGA
State: relaxed

Output
Fermi-level density of states ... 0.58 states/eV per atom
E_tot ... -9.066 eV per atom
Calculated formation energy ... -0.165 eV/atom
Size of the total moment ... 0.14 μB per cell

a b c (Å): 3.202 3.184 5.496
angles (deg): 90.00 90.00 90.00
Positions (direct):
Mn: 0.500 0.500 0.240
Mn: 0.000 0.000 0.045
Ta: 0.500 0.500 0.722
P: 0.000 0.000 0.493

No. 14
Material: TaMn2P
Method: DFT, PBE-GGA
State: relaxed

Output
Fermi-level density of states ... 0.84 states/eV per atom
E_tot ... -8.879 eV per atom
Calculated formation energy ... 0.021 eV/atom
Size of the total moment ... 3.32 μB per cell

a b c (Å): 7.486 7.486 7.486
angles (deg): 23.04 23.04 23.04
Positions (direct):
Ta: 0.250 0.250 0.250
P: 0.750 0.750 0.750
Mn: 0.486 0.486 0.486
Mn: 0.014 0.014 0.014

No. 15
Material: Ta2MnP
Method: DFT, PBE-GGA
State: relaxed

Output
Fermi-level density of states ... 0.78 states/eV per atom
E_tot ... -9.806 eV per atom
Calculated formation energy ... -0.235 eV/atom
Size of the total moment ... 0.00 μB per cell

a b c (Å): 2.863 2.863 7.146
angles (deg): 90.00 90.00 90.00
Positions (direct):
Ta: 0.500 0.500 0.291
Ta: 0.000 0.000 0.958
P: 0.500 0.500 0.700
Mn: 0.000 0.000 0.552

No. 16
Material: TaMn2P
Method: DFT, PBE-GGA
State: relaxed

Output
Fermi-level density of states ... 1.00 states/eV per atom
E_tot ... -8.802 eV per atom
Calculated formation energy ... 0.099 eV/atom
Size of the total moment ... 10.20 μB per cell

a b c (Å): 6.877 6.877 5.469
angles (deg): 51.04 51.04 90.00
Positions (direct):
P: 0.250 0.750 0.500
P: 0.500 0.500 0.000
Ta: 0.000 0.000 0.000
Ta: 0.750 0.250 0.500
Mn: 0.875 0.817 0.750
Mn: 0.567 0.125 0.250
Mn: 0.183 0.625 0.250
Mn: 0.375 0.433 0.750

No. 17
Material: TaMnP3
Method: DFT, PBE-GGA
State: relaxed

Output
Fermi-level density of states ... 1.85 states/eV per atom
E_tot ... -6.336 eV per atom
Calculated formation energy ... 1.114 eV/atom
Size of the total moment ... 0.45 μB per cell

a b c (Å): 4.770 4.770 4.770
angles (deg): 90.00 90.00 90.00
Positions (direct):
P: 0.500 0.000 0.000
P: 0.000 0.000 0.500
P: 0.000 0.500 0.000
Mn: 0.500 0.500 0.500
Ta: 0.000 0.000 0.000

No. 18
Material: Ta2MnP
Method: DFT, PBE-GGA
State: relaxed

Output
Fermi-level density of states ... 0.74 states/eV per atom
E_tot ... -9.634 eV per atom
Calculated formation energy ... -0.063 eV/atom
Size of the total moment ... 1.81 μB per cell

a b c (Å): 7.372 7.372 7.372
angles (deg): 25.34 25.34 25.34
Positions (direct):
Mn: 0.515 0.515 0.515
Ta: 0.755 0.755 0.755
Ta: 0.987 0.987 0.987
P: 0.243 0.243 0.243

No. 19
Material: TaMn2TcP
Method: DFT, PBE-GGA
State: relaxed

Output
Fermi-level density of states ... 0.68 states/eV per atom
E_tot ... -8.981 eV per atom
Calculated formation energy ... 0.213 eV/atom
Size of the total moment ... 0.60 μB per cell

a b c (Å): 4.099 4.339 4.099
angles (deg): 90.00 90.00 90.00
Positions (direct):
Mn: 0.000 0.000 0.500
Mn: 0.500 0.000 0.000
P: 0.000 0.000 0.000
Ta: 0.500 0.500 0.500
Tc: 0.000 0.500 0.000

No. 20
Material: YTaMnP2
Method: DFT, PBE-GGA
State: relaxed

Output
Fermi-level density of states ... 1.01 states/eV per atom
E_tot ... -7.460 eV per atom
Calculated formation energy ... 0.201 eV/atom
Size of the total moment ... 1.02 μB per cell

a b c (Å): 4.462 4.679 4.462
angles (deg): 90.00 90.00 90.00
Positions (direct):
Mn: 0.000 0.000 0.000
Y: 0.500 0.500 0.500
P: 0.500 0.000 0.000
P: 0.000 0.000 0.500
Ta: 0.000 0.500 0.000